[1]
Below is an optimized crystal structure of Er2Th2Ni3, with properties calculated at the GGA-PBE level.

Unit cell a=4.0134 b=6.6581 c=6.7634 alpha=100.04 beta=107.14 gamma=90.01
Positions (direct):
1 Er 0.1209 0.3781 0.2439
2 Er 0.8791 0.6219 0.7561
3 Th 0.3699 0.1260 0.7437
4 Th 0.6301 0.8740 0.2563
5 Ni 0.2559 0.7508 0.5078
6 Ni 0.5000 0.5000 0.0000
7 Ni 0.7441 0.2492 0.4922

Summary:
As for the total magnetic moment: 0.00 μB/f.u. The calculation puts the total DFT energy (no corrections) at -43.05 eV per cell. Its space-group type is P-1.

***

[2]
Below is an optimized crystal structure of Er3ThNi, with properties calculated at the GGA-PBE level.

Unit cell a=5.2344 b=5.2344 c=5.2344 alpha=90.00 beta=90.00 gamma=90.00
Positions (direct):
1 Er 0.0000 0.0000 0.5000
2 Er 0.0000 0.5000 0.0000
3 Er 0.5000 0.0000 0.0000
4 Th 0.5000 0.5000 0.5000
5 Ni 0.0000 0.0000 0.0000

Summary:
As for the total magnetic moment: 0.00 μB/f.u. The calculation puts the total DFT energy (no corrections) at -27.02 eV per cell. Its space-group type is Pm-3m.

***

[3]
Below is an optimized crystal structure of ErTh3Ni8, with properties calculated at the GGA-PBE level.

Unit cell a=8.9194 b=8.9194 c=8.9194 alpha=33.57 beta=33.57 gamma=33.57
Positions (direct):
1 Er 0.0000 0.0000 0.0000
2 Th 0.1240 0.1240 0.1240
3 Th 0.4992 0.4992 0.4992
4 Th 0.6262 0.6262 0.6262
5 Ni 0.0607 0.5611 0.5611
6 Ni 0.0624 0.0624 0.5660
7 Ni 0.0624 0.5660 0.0624
8 Ni 0.3126 0.3126 0.3126
9 Ni 0.5611 0.0607 0.5611
10 Ni 0.5611 0.5611 0.0607
11 Ni 0.5660 0.0624 0.0624
12 Ni 0.8126 0.8126 0.8126

Summary:
As for the total magnetic moment: 0.00 μB/f.u. The calculation puts the total DFT energy (no corrections) at -77.62 eV per cell. Its space-group type is R3m.

***

[4]
Below is an optimized crystal structure of ErTh2Ni6, with properties calculated at the GGA-PBE level.

Unit cell a=7.0758 b=7.0758 c=3.7107 alpha=90.00 beta=90.00 gamma=120.00
Positions (direct):
1 Er 0.0000 0.0000 0.0000
2 Th 0.3333 0.6667 0.0000
3 Th 0.6667 0.3333 0.0000
4 Ni 0.0000 0.3320 0.5000
5 Ni 0.0000 0.6680 0.5000
6 Ni 0.3320 0.0000 0.5000
7 Ni 0.3320 0.3320 0.5000
8 Ni 0.6680 0.0000 0.5000
9 Ni 0.6680 0.6680 0.5000

Summary:
As for the total magnetic moment: 0.00 μB/f.u. As for the distance to the lowest polymorph of the same formula: 0.0 kJ per mole of atoms. Its space-group type is P6/mmm.

***

[5]
Below is an optimized crystal structure of ErThNi, with properties calculated at the GGA-PBE level.

Unit cell a=3.7594 b=3.7594 c=6.3474 alpha=90.00 beta=90.00 gamma=120.00
Positions (direct):
1 Er 0.0000 0.0000 0.0000
2 Th 0.6667 0.3333 0.4680
3 Ni 0.3333 0.6667 0.7323

Summary:
As for the total magnetic moment: 0.00 μB/f.u. As for the distance to the lowest polymorph of the same formula: 4.0 kJ per mole of atoms. Its space-group type is P3m1.

***

[6]
Below is an optimized crystal structure of ErThNi, with properties calculated at the GGA-PBE level.

Unit cell a=13.7088 b=6.3745 c=14.8906 alpha=66.92 beta=25.33 gamma=87.76
Positions (direct):
1 Er 0.1148 0.8852 0.3402
2 Er 0.5902 0.9098 0.3648
3 Er 0.8852 0.1148 0.6598
4 Er 0.9098 0.5902 0.1352
5 Th 0.2031 0.2480 0.6097
6 Th 0.2480 0.2031 0.9393
7 Th 0.3107 0.6403 0.0020
8 Th 0.6403 0.3107 0.0469
9 Ni 0.3202 0.6994 0.3230
10 Ni 0.5926 0.9270 0.5506
11 Ni 0.6994 0.3202 0.6574
12 Ni 0.9270 0.5926 0.9298

Summary:
As for the total magnetic moment: 0.00 μB/f.u. As for the distance to the lowest polymorph of the same formula: 0.0 kJ per mole of atoms. Its space-group type is Fdd2.

***

| no. | N(E_F) (states/eV/f.u.) |
| --- | --- |
| 1 | 5.7 |
| 2 | 6.3 |
| 3 | 10.7 |
| 4 | 12.7 |
| 5 | 3.2 |
| 6 | 3.8 |